ZnCdHg2 SCAN single point on PBEsol structure; D(E_F) = 1.5 states/eV/f.u.; symmetry = Cm, No. 8; energy above the lowest structure with this stoichiometry = 38 meV/atom; spin magnetization = 0.000 μB/cell
1.0
-0.489 -1.060 2.959
-1.409 -2.840 0.260
7.446 -5.183 0.878
Zn Hg Cd
1 2 1
Cartesian
2.771 -4.548 2.053
-1.872 -3.896 3.207
3.984 -6.769 3.104
1.542 -2.314 1.000

ZnCdHg2 SCAN single point on PBEsol structure; D(E_F) = 1.4 states/eV/f.u.; symmetry = P4/mmm, No. 123; energy above the lowest structure with this stoichiometry = 55 meV/atom; spin magnetization = 0.000 μB/cell
1.0
3.078 0.000 0.000
0.000 3.078 0.000
0.000 0.000 8.417
Zn Hg Cd
1 2 1
Cartesian
1.539 1.539 0.000
0.000 0.000 6.478
0.000 0.000 1.939
1.539 1.539 4.208

Zn2CdHg SCAN single point on PBEsol structure; D(E_F) = 1.1 states/eV/f.u.; symmetry = Cm, No. 8; energy above the lowest structure with this stoichiometry = 0 meV/atom; spin magnetization = 0.000 μB/cell
1.0
-2.489 1.530 -2.188
-0.190 -4.792 -0.090
-2.660 0.935 3.680
Zn Hg Cd
2 1 1
Cartesian
-5.300 -2.324 1.361
-2.749 -1.317 2.206
-2.564 -1.014 -0.836
-2.639 1.231 0.819

ZnCd2Hg SCAN single point on PBEsol structure; D(E_F) = 1.1 states/eV/f.u.; symmetry = I-4m2, No. 119; energy above the lowest structure with this stoichiometry = 37 meV/atom; spin magnetization = 0.000 μB/cell
1.0
4.253 0.000 0.000
0.000 4.253 0.000
-2.126 -2.126 4.334
Zn Hg Cd
1 1 2
Cartesian
0.000 2.126 2.167
2.126 2.126 0.000
0.000 0.000 0.000
2.126 0.000 2.167

Please write out number 4 again, unchanged.
ZnCd2Hg SCAN single point on PBEsol structure; D(E_F) = 1.1 states/eV/f.u.; symmetry = I-4m2, No. 119; energy above the lowest structure with this stoichiometry = 37 meV/atom; spin magnetization = 0.000 μB/cell
1.0
4.253 0.000 0.000
0.000 4.253 0.000
-2.126 -2.126 4.334
Zn Hg Cd
1 1 2
Cartesian
0.000 2.126 2.167
2.126 2.126 0.000
0.000 0.000 0.000
2.126 0.000 2.167

Repeat the fourth record exactly.
ZnCd2Hg SCAN single point on PBEsol structure; D(E_F) = 1.1 states/eV/f.u.; symmetry = I-4m2, No. 119; energy above the lowest structure with this stoichiometry = 37 meV/atom; spin magnetization = 0.000 μB/cell
1.0
4.253 0.000 0.000
0.000 4.253 0.000
-2.126 -2.126 4.334
Zn Hg Cd
1 1 2
Cartesian
0.000 2.126 2.167
2.126 2.126 0.000
0.000 0.000 0.000
2.126 0.000 2.167

What is the D(E_F) in the fourth record? 1.1 states/eV/f.u.